First-principles (PBE with a Hubbard U) data for an optimized crystal structure of RbTiVF6, as listed in the Alexandria database.

- theoretical density (g cm⁻³) = 3.2
- VASP energy (eV per atom) = -6.083

Cell lengths 7.479, 7.675, 10.623 Å; angles 90.00, 90.00, 90.00 degrees
Space group Imma (No. 74)
Inequivalent atoms, fractional coordinates:
Rb (0.000, 0.250, 0.112)
Ti (0.000, 0.000, 0.500)
V (0.250, 0.250, 0.750)
F (0.000, 0.250, 0.452)
F (0.000, 0.250, 0.839)
F (0.189, 0.040, 0.626)